# YMgAu2 | Alexandria via LeMat-Bulk | meta-GGA SCAN | single point on PBEsol structure
# Volume: 79.5 Å³/cell
# ρ: 10.6 Mg/m³
# Formation energy: -933 meV per atom
data_YMgAu2
_cell_length_a 3.380
_cell_length_b 3.380
_cell_length_c 6.962
_cell_angle_alpha 90.00
_cell_angle_beta 90.00
_cell_angle_gamma 90.00
_symmetry_space_group_name_H-M 'P 4/m m m'
_symmetry_Int_Tables_number 123
_symmetry_space_group_name_Hall '-P 4 2'
loop_
_atom_site_label
_atom_site_type_symbol
_atom_site_fract_x
_atom_site_fract_y
_atom_site_fract_z
_atom_site_occupancy
Y1 Y 0.000 0.000 0.000 1
Mg1 Mg 0.000 0.000 0.500 1
Au1 Au 0.500 0.500 0.268 1